Entry from Alexandria: a relaxed TlCu2Si crystal (PBE).

a = 4.0837 Å, b = 4.0837 Å, c = 7.8604 Å
α = 90.00°, β = 90.00°, γ = 90.00°
Space group I4/mmm (No. 139)
Asymmetric unit:
Tl: 0.0000 0.0000 0.0000
Cu: 0.0000 0.5000 0.2500
Si: 0.0000 0.0000 0.5000

Summary:
Formation energy from raw total energies (eV/f.u.): 1.8
Polymorph energy (0 for the lowest one) (eV per atom): 0.204
Magnetic moment (μB per formula unit): 0.00



Entry from Alexandria: a relaxed TlCuSi2 crystal (PBE).

a = 2.8610 Å, b = 4.8349 Å, c = 10.4650 Å
α = 90.00°, β = 90.00°, γ = 90.00°
Space group Immm (No. 71)
Asymmetric unit:
Tl: 0.0000 0.0000 0.0000
Cu: 0.0000 0.0000 0.5000
Si: 0.0000 0.5000 0.2091

Summary:
Formation energy from raw total energies (eV/f.u.): 1.9
Polymorph energy (0 for the lowest one) (eV per atom): 0.266
Magnetic moment (μB per formula unit): 0.00



Entry from Alexandria: a relaxed TlCuSi2 crystal (PBE).

a = 3.8716 Å, b = 4.1077 Å, c = 5.3618 Å
α = 90.00°, β = 100.05°, γ = 90.00°
Space group P2/m (No. 10)
Asymmetric unit:
Tl: 0.0000 0.0000 0.0000
Cu: 0.5000 0.0000 0.5000
Si: 0.2786 0.5000 0.6361

Summary:
Formation energy from raw total energies (eV/f.u.): 1.2
Polymorph energy (0 for the lowest one) (eV per atom): 0.075
Magnetic moment (μB per formula unit): 0.00



Entry from Alexandria: a relaxed Tl4CuSi crystal (PBE).

a = 8.8700 Å, b = 8.8700 Å, c = 8.8700 Å
α = 90.00°, β = 90.00°, γ = 90.00°
Space group F-43m (No. 216)
Asymmetric unit:
Tl: 0.1252 0.1252 0.1252
Cu: 0.2500 0.2500 0.7500
Si: 0.0000 0.0000 0.5000

Summary:
Formation energy from raw total energies (eV/f.u.): 4.4
Magnetic moment (μB per formula unit): 0.00



| no. | DOS at the Fermi energy (states/eV/cell) | calculated total energy (eV per atom) |
| --- | --- | --- |
| 1 | 3.2 | -3.55 |
| 2 | 2.4 | -3.84 |
| 3 | 0.7 | -4.04 |
| 4 | 15.7 | -2.43 |